## FeSb4Br (PBE-GGA)

Data for a relaxed structure of FeSb4Br.

Properties
Final energy ... -91.1 eV for the cell shown
M_tot ... 0.617 μB per atom

a = 8.822 Å, b = 8.822 Å, c = 8.822 Å
α = 90.00°, β = 90.00°, γ = 90.00°
Space group F-43m (No. 216)
Unique sites:
Fe 0.000 0.000 0.000 x4
Sb 0.119 0.119 0.619 x16
Br 0.250 0.250 0.250 x4